Entry 1:
VASP calculation (GGA-PBE) on a geometry-optimized Nd2Ga4Ir5 structure.

Unit cell a=5.7157 b=5.6058 c=8.0583 alpha=79.58 beta=69.23 gamma=59.35
Last column: nearest neighbours and their distance in Å.
Positions (direct):
1 Nd 0.8776 0.0000 0.2448  6 Ga 3.24-3.31, 10 Ir 3.36-3.40
2 Nd 0.1224 0.0000 0.7552  6 Ga 3.24-3.31, 10 Ir 3.36-3.40
3 Ga 0.4730 0.3150 0.7390  5 Ir 2.47-2.59
4 Ga 0.5270 0.6850 0.2610  5 Ir 2.47-2.59
5 Ga 0.2120 0.3150 0.2610  5 Ir 2.47-2.59
6 Ga 0.7880 0.6850 0.7390  5 Ir 2.47-2.59
7 Ir 0.5000 0.0000 0.0000  4 Ga 2.49
8 Ir 0.0000 0.5000 0.0000  4 Ga 2.59, 4 Ir 2.80-2.86
9 Ir 0.5000 0.5000 0.0000  4 Ga 2.59, 4 Ir 2.80-2.86
10 Ir 0.2500 0.5000 0.5000  4 Ga 2.47
11 Ir 0.7500 0.5000 0.5000  4 Ga 2.47

The calculation puts the calculated total energy at -72.8 eV/cell. Its mass density is 12.221 g/cm³. The calculation puts the formation energy at -0.63 eV per atom.



Entry 2:
VASP calculation (GGA-PBE) on a geometry-optimized NdGaIr4 structure.

Unit cell a=5.3325 b=5.3325 c=5.3325 alpha=60.00 beta=60.00 gamma=60.00
Last column: nearest neighbours and their distance in Å.
Positions (direct):
1 Ir 0.6257 0.6257 0.1229  6 Ir 2.65-2.68
2 Ir 0.6257 0.1229 0.6257  6 Ir 2.65-2.68
3 Ir 0.6257 0.6257 0.6257  6 Ir 2.65-2.68
4 Ir 0.1229 0.6257 0.6257  6 Ir 2.65-2.68
5 Nd 0.2500 0.2500 0.2500  12 Ir 3.13, 4 Ga 3.27
6 Ga 0.0000 0.0000 0.0000  12 Ir 3.12, 4 Nd 3.27

The calculation puts the calculated total energy at -44.8 eV/cell. Its mass density is 15.221 g/cm³. The calculation puts the formation energy at -0.27 eV per atom.



Entry 3:
VASP calculation (GGA-PBE) on a geometry-optimized NdGa9Ir2 structure.

Unit cell a=7.6927 b=8.3347 c=8.3347 alpha=77.70 beta=62.52 gamma=62.52
Last column: nearest neighbours and their distance in Å.
Positions (direct):
1 Nd 0.5000 0.0000 0.0000  16 Ga 3.35-3.45
2 Nd 0.2500 0.5000 0.5000  16 Ga 3.35-3.45
3 Ga 0.7500 0.5000 0.5000  4 Ir 2.79, 8 Ga 2.90
4 Ga 0.0000 0.0000 0.0000  4 Ir 2.79, 8 Ga 2.90
5 Ga 0.0162 0.9139 0.6730  4 Ga 2.52-2.79, 2 Ir 2.60-2.77
6 Ga 0.6032 0.0861 0.3270  4 Ga 2.52-2.79, 2 Ir 2.60-2.77
7 Ga 0.6802 0.1730 0.5861  4 Ga 2.52-2.79, 2 Ir 2.60-2.77
8 Ga 0.4392 0.8270 0.4139  4 Ga 2.52-2.79, 2 Ir 2.60-2.77
9 Ga 0.7338 0.8270 0.5861  4 Ga 2.52-2.79, 2 Ir 2.60-2.77
10 Ga 0.1468 0.1730 0.4139  4 Ga 2.52-2.79, 2 Ir 2.60-2.77
11 Ga 0.0698 0.9139 0.3270  4 Ga 2.52-2.79, 2 Ir 2.60-2.77
12 Ga 0.3108 0.0861 0.6730  4 Ga 2.52-2.79, 2 Ir 2.60-2.77
13 Ga 0.7338 0.5861 0.8270  4 Ga 2.52-2.79, 2 Ir 2.60-2.77
14 Ga 0.1468 0.4139 0.1730  4 Ga 2.52-2.79, 2 Ir 2.60-2.77
15 Ga 0.0698 0.3270 0.9139  4 Ga 2.52-2.79, 2 Ir 2.60-2.77
16 Ga 0.3108 0.6730 0.0861  4 Ga 2.52-2.79, 2 Ir 2.60-2.77
17 Ga 0.0162 0.6730 0.9139  4 Ga 2.52-2.79, 2 Ir 2.60-2.77
18 Ga 0.6032 0.3270 0.0861  4 Ga 2.52-2.79, 2 Ir 2.60-2.77
19 Ga 0.6802 0.5861 0.1730  4 Ga 2.52-2.79, 2 Ir 2.60-2.77
20 Ga 0.4392 0.4139 0.8270  4 Ga 2.52-2.79, 2 Ir 2.60-2.77
21 Ir 0.8750 0.2500 0.7500  10 Ga 2.60-2.79
22 Ir 0.8750 0.7500 0.2500  10 Ga 2.60-2.79
23 Ir 0.8750 0.2500 0.2500  10 Ga 2.60-2.79
24 Ir 0.3750 0.7500 0.7500  10 Ga 2.60-2.79

The calculation puts the calculated total energy at -107.4 eV/cell. Its mass density is 9.130 g/cm³. For the polymorph energy (0 for the lowest one), the calculation gives 0.011 eV/atom. The calculation puts the formation energy at -0.33 eV per atom.



Entry 4:
VASP calculation (GGA-PBE) on a geometry-optimized NdGa2NiIr structure.

Unit cell a=4.1429 b=4.1429 c=6.0152 alpha=110.14 beta=110.14 gamma=90.00
Last column: nearest neighbours and their distance in Å.
Positions (direct):
1 Nd 0.0000 0.0000 0.0000  8 Ga 3.21, 4 Ni 3.35, 4 Ir 3.35
2 Ga 0.6242 0.6242 0.2485  2 Ni 2.46, 2 Ir 2.46, 1 Ga 2.61
3 Ga 0.3758 0.3758 0.7515  2 Ni 2.46, 2 Ir 2.46, 1 Ga 2.61
4 Ni 0.2500 0.7500 0.5000  4 Ga 2.46
5 Ir 0.7500 0.2500 0.5000  4 Ga 2.46

The calculation puts the calculated total energy at -28.5 eV/cell. Its mass density is 9.845 g/cm³. The calculation puts the formation energy at -0.61 eV per atom.



Entry 5:
VASP calculation (GGA-PBE) on a geometry-optimized NdGa5NiIr2 structure.

Unit cell a=4.7833 b=4.7833 c=7.7044 alpha=90.00 beta=90.00 gamma=90.00
Last column: nearest neighbours and their distance in Å.
Positions (direct):
1 Nd 0.0000 0.0000 0.5000  12 Ga 3.38-3.46
2 Ga 0.0000 0.5000 0.1749  2 Ir 2.40
3 Ga 0.5000 0.0000 0.1749  2 Ir 2.40
4 Ga 0.0000 0.5000 0.8251  2 Ir 2.40
5 Ga 0.5000 0.0000 0.8251  2 Ir 2.40
6 Ga 0.5000 0.5000 0.5000  2 Ir 2.30
7 Ni 0.0000 0.0000 0.0000  8 Ga 2.75
8 Ir 0.5000 0.5000 0.2019  5 Ga 2.30-2.40
9 Ir 0.5000 0.5000 0.7981  5 Ga 2.30-2.40

The calculation puts the calculated total energy at -45.2 eV/cell. Its mass density is 8.817 g/cm³. The calculation puts the formation energy at -0.20 eV per atom.



Entry 6:
VASP calculation (GGA-PBE) on a geometry-optimized NdGa4NiIr2 structure.

Unit cell a=4.2509 b=4.2509 c=9.0270 alpha=76.38 beta=76.38 gamma=60.00
Last column: nearest neighbours and their distance in Å.
Positions (direct):
1 Nd 0.0000 0.0000 0.0000  6 Ga 3.05
2 Ga 0.4028 0.4028 0.7916  1 Ni 2.53, 3 Ir 2.60
3 Ga 0.8677 0.8677 0.3970  4 Ir 2.58, 3 Ni 2.61
4 Ga 0.1323 0.1323 0.6030  4 Ir 2.58, 3 Ni 2.61
5 Ga 0.5972 0.5972 0.2084  1 Ni 2.53, 3 Ir 2.60
6 Ni 0.5000 0.5000 0.5000  8 Ga 2.53-2.61
7 Ir 0.7686 0.7686 0.6943  7 Ga 2.58-2.60
8 Ir 0.2314 0.2314 0.3057  7 Ga 2.58-2.60

The calculation puts the calculated total energy at -44.7 eV/cell. Its mass density is 10.581 g/cm³. The calculation puts the formation energy at -0.54 eV per atom.



Entry 7:
VASP calculation (GGA-PBE) on a geometry-optimized Nd2Ga3Ni12Ir structure.

Unit cell a=9.3918 b=9.3918 c=9.3918 alpha=37.56 beta=37.56 gamma=37.56
Last column: nearest neighbours and their distance in Å.
Positions (direct):
1 Nd 0.6505 0.6505 0.6505  12 Ni 3.01-3.37
2 Nd 0.3495 0.3495 0.3495  12 Ni 3.01-3.37
3 Ga 0.5000 0.0000 0.0000  6 Ni 2.33-2.48
4 Ga 0.0000 0.5000 0.0000  6 Ni 2.33-2.48
5 Ga 0.0000 0.0000 0.5000  6 Ni 2.33-2.48
6 Ni 0.4170 0.4170 0.8097  2 Ga 2.33, 4 Ni 2.37-2.39
7 Ni 0.9300 0.9300 0.3571  4 Ni 2.39-2.58, 1 Ir 2.41, 1 Ga 2.48
8 Ni 0.3571 0.9300 0.9300  4 Ni 2.39-2.58, 1 Ir 2.41, 1 Ga 2.48
9 Ni 0.8097 0.4170 0.4170  2 Ga 2.33, 4 Ni 2.37-2.39
10 Ni 0.9300 0.3571 0.9300  4 Ni 2.39-2.58, 1 Ir 2.41, 1 Ga 2.48
11 Ni 0.4170 0.8097 0.4170  2 Ga 2.33, 4 Ni 2.37-2.39
12 Ni 0.5830 0.5830 0.1903  2 Ga 2.33, 4 Ni 2.37-2.39
13 Ni 0.0700 0.0700 0.6429  4 Ni 2.39-2.58, 1 Ir 2.41, 1 Ga 2.48
14 Ni 0.6429 0.0700 0.0700  4 Ni 2.39-2.58, 1 Ir 2.41, 1 Ga 2.48
15 Ni 0.1903 0.5830 0.5830  2 Ga 2.33, 4 Ni 2.37-2.39
16 Ni 0.0700 0.6429 0.0700  4 Ni 2.39-2.58, 1 Ir 2.41, 1 Ga 2.48
17 Ni 0.5830 0.1903 0.5830  2 Ga 2.33, 4 Ni 2.37-2.39
18 Ir 0.0000 0.0000 0.0000  6 Ni 2.41

The calculation puts the calculated total energy at -96.7 eV/cell. Its mass density is 8.386 g/cm³. The calculation puts the formation energy at 0.01 eV per atom.



Entry 8:
VASP calculation (GGA-PBE) on a geometry-optimized NdGa5Ni2Ir structure.

Unit cell a=4.6543 b=4.6543 c=7.0898 alpha=90.00 beta=90.00 gamma=90.00
Last column: nearest neighbours and their distance in Å.
Positions (direct):
1 Nd 0.0000 0.0000 0.5000  12 Ga 3.20-3.29, 2 Ir 3.54
2 Ga 0.0000 0.5000 0.1896  2 Ni 2.33
3 Ga 0.5000 0.0000 0.1896  2 Ni 2.33
4 Ga 0.0000 0.5000 0.8104  2 Ni 2.33
5 Ga 0.5000 0.0000 0.8104  2 Ni 2.33
6 Ga 0.5000 0.5000 0.5000  2 Ni 2.28
7 Ni 0.5000 0.5000 0.1783  5 Ga 2.28-2.33, 1 Ni 2.53
8 Ni 0.5000 0.5000 0.8217  5 Ga 2.28-2.33, 1 Ni 2.53
9 Ir 0.0000 0.0000 0.0000  8 Ga 2.69

The calculation puts the calculated total energy at -43.0 eV/cell. Its mass density is 8.676 g/cm³. The calculation puts the formation energy at -0.30 eV per atom.